1.
The following is a DFT calculation (GGA-PBE) of a geometry-optimized AcCuH6Pt2 structure.

Results
- Uncorrected energy: -4.32 eV/atom

a = 6.525 Å, b = 6.525 Å, c = 6.980 Å
α = 110.15°, β = 110.15°, γ = 105.94°
Atoms (fractional coordinates):
Ac: 0.129 0.871 0.250
Ac: 0.871 0.129 0.750
Cu: 0.629 0.371 0.250
Cu: 0.371 0.629 0.750
H: 0.979 0.263 0.242
H: 0.737 0.021 0.258
H: 0.021 0.737 0.758
H: 0.263 0.979 0.742
H: 0.256 0.187 0.100
H: 0.813 0.744 0.400
H: 0.744 0.813 0.900
H: 0.187 0.256 0.600
H: 0.278 0.671 0.503
H: 0.329 0.722 0.997
H: 0.722 0.329 0.497
H: 0.671 0.278 0.003
Pt: 0.421 0.252 0.792
Pt: 0.748 0.579 0.708
Pt: 0.579 0.748 0.208
Pt: 0.252 0.421 0.292

2.
The following is a DFT calculation (GGA-PBE) of a geometry-optimized Ac2CuH6Rh structure.

Results
- Uncorrected energy: -4.37 eV/atom

a = 5.323 Å, b = 5.323 Å, c = 5.669 Å
α = 61.99°, β = 61.99°, γ = 90.00°
Atoms (fractional coordinates):
Ac: 0.750 0.250 0.500
Ac: 0.250 0.750 0.500
Cu: 0.000 0.000 0.000
H: 0.200 0.200 0.601
H: 0.734 0.734 0.000
H: 0.266 0.734 0.000
H: 0.734 0.266 0.000
H: 0.266 0.266 0.000
H: 0.800 0.800 0.399
Rh: 0.500 0.500 0.000

3.
The following is a DFT calculation (GGA-PBE) of a geometry-optimized Ac2CuH12Rh3 structure.

Results
- Uncorrected energy: -4.42 eV/atom

a = 6.130 Å, b = 6.130 Å, c = 6.130 Å
α = 63.19°, β = 63.19°, γ = 63.19°
Atoms (fractional coordinates):
Ac: 0.626 0.626 0.626
Ac: 0.374 0.374 0.374
Cu: 0.000 0.000 0.000
H: 0.329 0.329 0.897
H: 0.908 0.908 0.339
H: 0.339 0.908 0.908
H: 0.897 0.329 0.329
H: 0.908 0.339 0.908
H: 0.329 0.897 0.329
H: 0.671 0.671 0.103
H: 0.092 0.092 0.661
H: 0.661 0.092 0.092
H: 0.103 0.671 0.671
H: 0.092 0.661 0.092
H: 0.671 0.103 0.671
Rh: 0.500 0.000 0.000
Rh: 0.000 0.500 0.000
Rh: 0.000 0.000 0.500

4.
The following is a DFT calculation (GGA-PBE) of a geometry-optimized AcCuH8Rh4 structure.

Results
- Uncorrected energy: -4.77 eV/atom

a = 5.792 Å, b = 5.792 Å, c = 5.729 Å
α = 59.63°, β = 59.63°, γ = 60.00°
Atoms (fractional coordinates):
Ac: 0.381 0.381 0.858
Cu: 0.994 0.994 0.017
H: 0.218 0.877 0.687
H: 0.877 0.218 0.687
H: 0.218 0.218 0.687
H: 0.214 0.214 0.358
H: 0.721 0.254 0.304
H: 0.254 0.721 0.304
H: 0.721 0.721 0.304
H: 0.761 0.761 0.716
Rh: 0.633 0.633 0.101
Rh: 0.999 0.509 0.493
Rh: 0.509 0.999 0.493
Rh: 0.999 0.999 0.493

5.
The following is a DFT calculation (GGA-PBE) of a geometry-optimized AcCu2H6Ru structure.

Results
- Uncorrected energy: -4.41 eV/atom

a = 5.769 Å, b = 4.714 Å, c = 5.758 Å
α = 90.00°, β = 131.72°, γ = 114.12°
Atoms (fractional coordinates):
Ac: 0.997 0.498 0.480
Cu: 0.403 0.701 0.277
Cu: 0.590 0.295 0.684
H: 0.679 0.061 0.915
H: 0.314 0.934 0.045
H: 0.125 0.062 0.362
H: 0.314 0.379 0.045
H: 0.679 0.617 0.916
H: 0.868 0.933 0.599
Ru: 0.997 0.998 0.980

6.
The following is a DFT calculation (GGA-PBE) of a geometry-optimized AcCuH6Ru structure.

Results
- Uncorrected energy: -4.47 eV/atom

a = 4.794 Å, b = 4.794 Å, c = 4.534 Å
α = 90.00°, β = 90.00°, γ = 60.00°
Atoms (fractional coordinates):
Ac: 0.000 0.000 0.000
Cu: 0.667 0.667 0.500
H: 0.015 0.492 0.258
H: 0.492 0.015 0.742
H: 0.493 0.492 0.742
H: 0.015 0.493 0.742
H: 0.492 0.493 0.258
H: 0.493 0.015 0.258
Ru: 0.333 0.333 0.500

7.
The following is a DFT calculation (GGA-PBE) of a geometry-optimized AcCu2SbH2 structure.

Results
- Uncorrected energy: -4.22 eV/atom

a = 4.955 Å, b = 7.062 Å, c = 7.063 Å
α = 119.22°, β = 90.00°, γ = 90.00°
Atoms (fractional coordinates):
Ac: 0.750 0.345 0.655
Ac: 0.250 0.655 0.345
Cu: 0.500 0.181 0.181
Cu: 0.000 0.181 0.181
Cu: 0.000 0.819 0.819
Cu: 0.500 0.819 0.819
Sb: 0.250 0.166 0.835
Sb: 0.750 0.834 0.165
H: 0.250 0.288 0.374
H: 0.250 0.626 0.712
H: 0.750 0.712 0.626
H: 0.750 0.374 0.288

8.
The following is a DFT calculation (GGA-PBE) of a geometry-optimized SrAcCu2H6 structure.

Results
- Uncorrected energy: -3.72 eV/atom

a = 6.492 Å, b = 6.492 Å, c = 6.684 Å
α = 101.11°, β = 101.11°, γ = 104.07°
Atoms (fractional coordinates):
Sr: 0.575 0.425 0.250
Sr: 0.425 0.575 0.750
Ac: 0.160 0.840 0.250
Ac: 0.840 0.160 0.750
Cu: 0.308 0.054 0.754
Cu: 0.946 0.692 0.746
Cu: 0.692 0.946 0.246
Cu: 0.054 0.308 0.254
H: 0.903 0.439 0.130
H: 0.561 0.097 0.370
H: 0.097 0.561 0.870
H: 0.439 0.903 0.630
H: 0.162 0.170 0.088
H: 0.830 0.838 0.412
H: 0.838 0.830 0.912
H: 0.170 0.162 0.588
H: 0.266 0.524 0.386
H: 0.476 0.734 0.114
H: 0.734 0.476 0.614
H: 0.524 0.266 0.886

Which of these has the highest uncorrected energy?
SrAcCu2H6